! KLu2O4, optimized geometry, DFT GGA-PBE; values from VASP
&SYSTEM
  ibrav = 0, nat = 14, ntyp = 3
/
ATOMIC_SPECIES
O 16.00 O.upf
Lu 174.97 Lu.upf
K 39.10 K.upf
ATOMIC_POSITIONS crystal
O 0.195 0.796 0.398
O 0.148 0.296 0.852
O 0.555 0.704 0.852
O 0.148 0.296 0.445
O 0.602 0.796 0.398
O 0.602 0.204 0.805
O 0.602 0.204 0.398
O 0.148 0.704 0.852
Lu 0.375 0.750 0.625
Lu 0.875 0.250 0.625
Lu 0.375 0.750 0.125
Lu 0.375 0.250 0.625
K 0.000 0.000 0.000
K 0.750 0.500 0.250
CELL_PARAMETERS angstrom
-4.847 2.124 -4.359
6.612 1.148 -1.403
-2.513 -6.372 -0.308
! - Crystal system: cubic
! - Electronic total energy: -7.0522 eV/atom
! - Total magnetization: 0.14 μB/atom

=====

! LuTcNO, optimized geometry, DFT GGA-PBE; values from VASP
&SYSTEM
  ibrav = 0, nat = 16, ntyp = 4
/
ATOMIC_SPECIES
Tc 98.00 Tc.upf
Lu 174.97 Lu.upf
N 14.01 N.upf
O 16.00 O.upf
ATOMIC_POSITIONS crystal
Tc 0.023 0.646 0.337
Tc 0.523 0.854 0.337
Tc 0.023 0.146 0.663
Tc 0.523 0.354 0.663
Lu 0.527 0.936 0.853
Lu 0.527 0.436 0.147
Lu 0.027 0.564 0.853
Lu 0.027 0.064 0.147
N 0.530 0.066 0.140
N 0.030 0.434 0.140
N 0.530 0.566 0.860
N 0.030 0.934 0.860
O 0.123 0.991 0.427
O 0.123 0.491 0.573
O 0.623 0.509 0.427
O 0.623 0.009 0.573
CELL_PARAMETERS angstrom
4.707 0.000 0.000
0.000 6.003 0.000
0.000 0.000 7.467
! - Crystal system: orthorhombic
! - Electronic total energy: -8.2203 eV/atom
! - Total magnetization: 0.02 μB/atom

=====

! ZrB, optimized geometry, DFT GGA-PBE; values from VASP
&SYSTEM
  ibrav = 0, nat = 12, ntyp = 2
/
ATOMIC_SPECIES
Zr 91.22 Zr.upf
B 10.81 B.upf
ATOMIC_POSITIONS crystal
Zr 0.698 0.163 0.000
Zr 0.393 0.413 0.500
Zr 0.018 0.870 0.500
Zr 0.829 0.642 0.000
Zr 0.205 0.185 0.000
Zr 0.524 0.892 0.500
B 0.455 0.525 0.000
B 0.768 0.531 0.500
B 0.228 0.708 0.000
B 0.994 0.347 0.500
B 0.758 0.217 0.500
B 0.464 0.839 0.000
CELL_PARAMETERS angstrom
-5.998 -1.882 -1.252
0.390 -4.520 3.050
-1.610 2.515 3.933
! - Crystal system: monoclinic
! - Electronic total energy: -7.8303 eV/atom
! - Total magnetization: 0.00 μB/atom

=====

! Na2CuPdF7, optimized geometry, DFT GGA-PBE; values from VASP
&SYSTEM
  ibrav = 0, nat = 22, ntyp = 4
/
ATOMIC_SPECIES
F 19.00 F.upf
Na 22.99 Na.upf
Pd 106.42 Pd.upf
Cu 63.55 Cu.upf
ATOMIC_POSITIONS crystal
F 0.932 0.829 0.660
F 0.367 0.760 0.607
F 0.669 0.272 0.840
F 0.669 0.829 0.397
F 0.932 0.272 0.103
F 0.068 0.728 0.897
F 0.653 0.760 0.893
F 0.087 0.337 0.750
F 0.913 0.663 0.250
F 0.347 0.240 0.107
F 0.633 0.240 0.393
F 0.331 0.171 0.603
F 0.331 0.728 0.160
F 0.068 0.171 0.340
Na 0.500 0.500 0.000
Na 0.000 0.500 0.500
Na 0.500 0.500 0.500
Na 0.500 0.000 0.000
Pd 0.000 0.000 0.000
Pd 0.500 0.000 0.500
Cu 0.000 0.500 0.000
Cu 0.000 0.000 0.500
CELL_PARAMETERS angstrom
4.303 -5.636 -0.521
1.227 5.001 4.903
-5.639 -4.260 0.773
! - Crystal system: orthorhombic
! - Electronic total energy: -4.0824 eV/atom

=====

! TmTh3N, optimized geometry, DFT GGA-PBE; values from VASP
&SYSTEM
  ibrav = 0, nat = 5, ntyp = 3
/
ATOMIC_SPECIES
Th 232.04 Th.upf
Tm 168.93 Tm.upf
N 14.01 N.upf
ATOMIC_POSITIONS crystal
Th 0.500 0.000 0.500
Th 0.500 0.500 0.000
Th 0.000 0.500 0.500
Tm 0.000 0.000 0.000
N 0.500 0.500 0.500
CELL_PARAMETERS angstrom
-0.500 0.123 5.031
2.939 -4.096 0.393
4.084 2.963 0.334
! - Crystal system: cubic
! - Electronic total energy: -7.6285 eV/atom
! - Total magnetization: 0.00 μB/atom

=====

! KNiGe, optimized geometry, DFT GGA-PBE; values from VASP
&SYSTEM
  ibrav = 0, nat = 3, ntyp = 3
/
ATOMIC_SPECIES
K 39.10 K.upf
Ge 72.64 Ge.upf
Ni 58.69 Ni.upf
ATOMIC_POSITIONS crystal
K 0.000 0.000 0.000
Ge 0.250 0.250 0.250
Ni 0.750 0.750 0.750
CELL_PARAMETERS angstrom
0.000 3.433 3.433
3.433 0.000 3.433
3.433 3.433 0.000
! - Crystal system: cubic
! - Electronic total energy: -2.4072 eV/atom
! - Total magnetization: 0.02 μB/atom

=====

! TmBiSb, optimized geometry, DFT GGA-PBE; values from VASP
&SYSTEM
  ibrav = 0, nat = 3, ntyp = 3
/
ATOMIC_SPECIES
Sb 121.76 Sb.upf
Tm 168.93 Tm.upf
Bi 208.98 Bi.upf
ATOMIC_POSITIONS crystal
Sb 0.000 0.000 0.000
Tm 0.750 0.750 0.750
Bi 0.250 0.250 0.250
CELL_PARAMETERS angstrom
0.000 3.664 3.664
3.664 0.000 3.664
3.664 3.664 0.000
! - Crystal system: cubic
! - Electronic total energy: -4.3585 eV/atom
! - Total magnetization: 0.01 μB/atom

=====

! Ho4CBr2F3, optimized geometry, DFT GGA-PBE; values from VASP
&SYSTEM
  ibrav = 0, nat = 10, ntyp = 4
/
ATOMIC_SPECIES
Ho 164.93 Ho.upf
C 12.01 C.upf
F 19.00 F.upf
Br 79.90 Br.upf
ATOMIC_POSITIONS crystal
Ho 0.000 0.000 0.763
Ho 0.355 0.355 0.926
Ho 0.000 0.000 0.237
Ho 0.645 0.645 0.074
C 0.500 0.500 0.000
F 0.858 0.858 0.708
F 0.500 0.500 0.500
F 0.142 0.142 0.292
Br 0.176 0.176 0.764
Br 0.824 0.824 0.236
CELL_PARAMETERS angstrom
-3.527 -5.375 -5.424
-0.693 -4.266 -7.216
3.915 -4.446 3.441
! - Crystal system: monoclinic
! - Electronic total energy: -5.7858 eV/atom
! - Total magnetization: 0.00 μB/atom